# 1
VASP calculation (PBE) on crystalline LiLaGd2 at its relaxed geometry.

Energy above the most stable polymorph in this dataset (eV per atom): 0.000
Crystal system: tetragonal
Calculated formation energy (kJ/mol of atoms): 6.3

Unit cell a=3.688 b=3.688 c=8.907 alpha=90.00 beta=90.00 gamma=90.00
Atoms (fractional coordinates):
Gd (0.000, 0.000, 0.785)
Gd (0.000, 0.000, 0.215)
Li (0.500, 0.500, 0.000)
La (0.500, 0.500, 0.500)

# 2
VASP calculation (PBE) on crystalline AlFe4Si3 at its relaxed geometry.

Total DFT energy (no corrections) (eV/atom): -7.236
Crystal system: tetragonal

Unit cell a=3.921 b=5.561 c=7.843 alpha=90.00 beta=90.00 gamma=90.00
Atoms (fractional coordinates):
Si (0.000, 0.000, 0.000)
Si (0.000, 0.000, 0.500)
Si (0.500, 0.000, 0.750)
Si (0.500, 0.000, 0.250)
Si (0.500, 0.500, 0.750)
Si (0.500, 0.500, 0.250)
Al (0.000, 0.500, 0.000)
Al (0.000, 0.500, 0.500)
Fe (0.500, 0.758, 0.000)
Fe (0.500, 0.758, 0.500)
Fe (0.500, 0.242, 0.000)
Fe (0.500, 0.242, 0.500)
Fe (0.000, 0.758, 0.750)
Fe (0.000, 0.758, 0.250)
Fe (0.000, 0.242, 0.250)
Fe (0.000, 0.242, 0.750)

# 3
VASP calculation (PBE) on crystalline Tl2POs at its relaxed geometry.

Energy above the most stable polymorph in this dataset (eV per atom): 0.895
Crystal system: tetragonal
Calculated formation energy (kJ/mol of atoms): 101.6

Unit cell a=3.574 b=3.574 c=6.143 alpha=90.00 beta=90.00 gamma=90.00
Atoms (fractional coordinates):
Tl (0.000, 0.000, 0.753)
Tl (0.000, 0.000, 0.247)
P (0.500, 0.500, 0.500)
Os (0.500, 0.500, 0.000)

no.,M_tot (Bohr magnetons per cell)
1,15.40
2,0.00
3,0.00